# PmMgVO5 (PBE with a Hubbard U, optimized geometry)
# **Volume**: 534.6 Å³/cell
# **Uncorrected energy**: -58.77 eV/f.u.
data_PmMgVO5
_space_group_name_H-M_alt 'C 1 2/c 1'
_space_group_IT_number 15
_space_group_name_Hall '-C 2yc'
_cell_length_a 8.4353
_cell_length_b 8.9026
_cell_length_c 8.0558
_cell_angle_alpha 90.00
_cell_angle_beta 117.91
_cell_angle_gamma 90.00
loop_
_atom_site_label
_atom_site_type_symbol
_atom_site_fract_x
_atom_site_fract_y
_atom_site_fract_z
_atom_site_occupancy
Pm1 Pm 0.0000 0.0000 0.0000 1
Mg1 Mg 0.0000 0.3202 0.2500 1
V1 V 0.0000 0.3724 0.7500 1
O1 O 0.0000 0.1097 0.2500 1
O2 O 0.0016 0.2641 0.5721 1
O3 O 0.1764 0.4946 0.3382 1